! CsAg3Au | Alexandria via LeMat-Bulk | SCAN | PBEsol geometry; values from VASP
! DFT formation energy ... 1.69 eV per atom
! N(E_F) ... 5.29 states/eV per cell
&SYSTEM
  ibrav = 0, nat = 5, ntyp = 3
/
ATOMIC_SPECIES
Cs 132.91 Cs.upf
Au 196.97 Au.upf
Ag 107.87 Ag.upf
ATOMIC_POSITIONS crystal
Cs 0.000 0.000 0.000
Au 0.500 0.500 0.500
Ag 0.000 0.500 0.000
Ag 0.000 0.000 0.500
Ag 0.500 0.000 0.000
CELL_PARAMETERS angstrom
-0.143 -4.886 -2.858
1.977 -2.722 4.554
-5.304 -0.883 1.775

---

! Cs2Ag2Au | Alexandria via LeMat-Bulk | SCAN | PBEsol geometry; values from VASP
! DFT formation energy ... -0.08 eV per atom
! N(E_F) ... 0.98 states/eV per cell
&SYSTEM
  ibrav = 0, nat = 5, ntyp = 3
/
ATOMIC_SPECIES
Cs 132.91 Cs.upf
Au 196.97 Au.upf
Ag 107.87 Ag.upf
ATOMIC_POSITIONS crystal
Cs 0.396 0.396 0.791
Cs 0.604 0.604 0.209
Au 0.000 0.000 0.000
Ag 0.250 0.750 0.500
Ag 0.750 0.250 0.500
CELL_PARAMETERS angstrom
-3.210 -0.010 -2.192
-0.613 -3.728 0.915
-3.790 4.853 8.974

---

! Cs2AgAu | Alexandria via LeMat-Bulk | SCAN | PBEsol geometry; values from VASP
! DFT formation energy ... -0.17 eV per atom
&SYSTEM
  ibrav = 0, nat = 4, ntyp = 3
/
ATOMIC_SPECIES
Cs 132.91 Cs.upf
Au 196.97 Au.upf
Ag 107.87 Ag.upf
ATOMIC_POSITIONS crystal
Cs 0.250 0.250 0.250
Cs 0.750 0.750 0.750
Au 0.500 0.500 0.500
Ag 0.000 0.000 0.000
CELL_PARAMETERS angstrom
5.955 0.000 0.000
2.977 5.157 0.000
2.977 1.719 4.862

---

! Cs3AgAu | Alexandria via LeMat-Bulk | SCAN | PBEsol geometry; values from VASP
! DFT formation energy ... -0.01 eV per atom
! N(E_F) ... 5.90 states/eV per cell
&SYSTEM
  ibrav = 0, nat = 5, ntyp = 3
/
ATOMIC_SPECIES
Cs 132.91 Cs.upf
Au 196.97 Au.upf
Ag 107.87 Ag.upf
ATOMIC_POSITIONS crystal
Cs 0.000 0.500 0.000
Cs 0.000 0.000 0.500
Cs 0.500 0.000 0.000
Au 0.000 0.000 0.000
Ag 0.500 0.500 0.500
CELL_PARAMETERS angstrom
-3.496 5.447 1.479
-2.252 -2.941 5.510
5.176 2.399 3.397

---

Raw total energy in eV per formula unit, matching the order above: -192.61; -207.92; -176.81; -213.99
Mass density in g/cm³, matching the order above: 6.0; 7.1; 6.3; 4.0